(1)
Here is a crystal of SrYCdSn2 relaxed with PBEsol from Alexandria. Energies are from meta-GGA SCAN.

## Properties
- Symmetry: P4/mmm
- Crystal system: tetragonal
- Formation energy: -0.0751 eV per atom
- Calculated volume: 36.0 Å³ per atom

Cell lengths 5.642, 5.642, 5.654 Å; angles 90.00, 90.00, 90.00 degrees
Fractional positions:
Sr 0.000 0.000 0.000
Y 0.500 0.500 0.500
Cd 0.500 0.500 0.000
Sn 0.000 0.500 0.500
Sn 0.500 0.000 0.500


(2)
Here is a crystal of GaSn2Te2 relaxed with PBEsol from Alexandria. Energies are from meta-GGA SCAN.

## Properties
- Symmetry: I4/mmm
- Crystal system: tetragonal
- Formation energy without anion corrections: 0.159 eV/atom
- Calculated volume: 29.3 Å³ per atom

Cell lengths 8.590, 8.590, 8.590 Å; angles 151.25, 151.25, 41.12 degrees
Fractional positions:
Ga 0.000 0.000 0.000
Sn 0.250 0.750 0.500
Sn 0.750 0.250 0.500
Te 0.409 0.409 0.000
Te 0.591 0.591 0.000


(3)
Here is a crystal of EuIn6Ni7 relaxed with PBEsol from Alexandria. Energies are from meta-GGA SCAN.

## Properties
- Symmetry: Ibam
- Crystal system: orthorhombic
- Formation energy: -0.2036 eV per atom
- Calculated volume: 16.2 Å³ per atom

Cell lengths 8.684, 8.684, 8.684 Å; angles 125.48, 115.69, 89.20 degrees
Fractional positions:
Eu 0.250 0.250 0.000
Eu 0.750 0.750 0.000
In 0.043 0.175 0.218
In 0.054 0.533 0.867
In 0.166 0.033 0.479
In 0.334 0.814 0.867
In 0.446 0.314 0.479
In 0.457 0.675 0.132
In 0.543 0.325 0.868
In 0.554 0.686 0.521
In 0.666 0.186 0.133
In 0.834 0.967 0.521
In 0.946 0.467 0.133
In 0.957 0.825 0.782
Ni 0.000 0.500 0.500
Ni 0.085 0.795 0.538
Ni 0.241 0.924 0.165
Ni 0.243 0.705 0.290
Ni 0.257 0.547 0.462
Ni 0.259 0.424 0.683
Ni 0.415 0.953 0.710
Ni 0.500 0.000 0.500
Ni 0.585 0.047 0.290
Ni 0.741 0.576 0.317
Ni 0.743 0.453 0.538
Ni 0.757 0.295 0.710
Ni 0.759 0.076 0.835
Ni 0.915 0.205 0.462